# 1
Material: Pr3Ni7Ge2
Method: DFT, PBE
State: relaxed

Output
Crystal system: tetragonal
E (eV/cell): -67.4
Energy relative to the elements (kJ/mol of atoms): -27
Space group: I4/mmm

a b c (Å): 13.5116 13.5116 13.5116
angles (deg): 163.10 163.10 23.98
Positions (direct):
Pr1 0.0000 0.0000 0.0000
Pr2 0.1746 0.1746 0.0000
Pr3 0.8254 0.8254 0.0000
Ni1 0.0760 0.5760 0.5000
Ni2 0.2836 0.2836 0.0000
Ni3 0.4240 0.9240 0.5000
Ni4 0.5000 0.5000 0.0000
Ni5 0.5760 0.0760 0.5000
Ni6 0.7164 0.7164 0.0000
Ni7 0.9240 0.4240 0.5000
Ge1 0.3764 0.3764 0.0000
Ge2 0.6236 0.6236 0.0000

=====

# 2
Material: PrNi4Ge2
Method: DFT, PBE
State: relaxed

Output
Crystal system: orthorhombic
E (eV/cell): -158.6
Energy relative to the elements (kJ/mol of atoms): -35
Space group: Pnma

a b c (Å): 16.6187 4.0976 6.3372
angles (deg): 90.00 90.00 90.00
Positions (direct):
Pr1 0.1396 0.2500 0.0053
Pr2 0.3604 0.7500 0.5053
Pr3 0.6396 0.2500 0.4947
Pr4 0.8604 0.7500 0.9947
Ni1 0.0210 0.7500 0.1376
Ni2 0.0661 0.2500 0.5191
Ni3 0.1870 0.7500 0.6763
Ni4 0.2085 0.7500 0.2845
Ni5 0.2915 0.2500 0.7845
Ni6 0.3130 0.2500 0.1763
Ni7 0.4339 0.7500 0.0191
Ni8 0.4790 0.2500 0.6376
Ni9 0.5210 0.7500 0.3624
Ni10 0.5661 0.2500 0.9809
Ni11 0.6870 0.7500 0.8237
Ni12 0.7085 0.7500 0.2155
Ni13 0.7915 0.2500 0.7155
Ni14 0.8130 0.2500 0.3237
Ni15 0.9339 0.7500 0.4809
Ni16 0.9790 0.2500 0.8624
Ge1 0.0409 0.7500 0.7362
Ge2 0.2120 0.2500 0.4758
Ge3 0.2880 0.7500 0.9758
Ge4 0.4591 0.2500 0.2362
Ge5 0.5409 0.7500 0.7638
Ge6 0.7120 0.2500 0.0242
Ge7 0.7880 0.7500 0.5242
Ge8 0.9591 0.2500 0.2638

=====

# 3
Material: Pr2NiGe
Method: DFT, PBE
State: relaxed

Output
Crystal system: orthorhombic
E (eV/cell): -21.3
Energy relative to the elements (kJ/mol of atoms): -31
Space group: Immm

a b c (Å): 5.8542 5.8542 5.8542
angles (deg): 134.93 134.15 66.25
Positions (direct):
Pr1 0.1727 0.1727 0.0000
Pr2 0.8273 0.8273 0.0000
Ni1 0.5000 0.0000 0.5000
Ge1 0.5000 0.5000 0.0000

=====

# 4
Material: Pr2Ni12Ge7
Method: DFT, PBE
State: relaxed

Output
Crystal system: hexagonal
E (eV/cell): -121.1
Energy relative to the elements (kJ/mol of atoms): -45
Space group: P-6

a b c (Å): 9.4642 9.4642 3.8658
angles (deg): 90.00 90.00 120.00
Positions (direct):
Pr1 0.0000 0.0000 0.0000
Pr2 0.3333 0.6667 0.5000
Ni1 0.0326 0.2824 0.5000
Ni2 0.1176 0.7337 0.0000
Ni3 0.2497 0.9674 0.5000
Ni4 0.2663 0.3839 0.0000
Ni5 0.3861 0.1889 0.0000
Ni6 0.5622 0.4268 0.5000
Ni7 0.5732 0.1354 0.5000
Ni8 0.6161 0.8824 0.0000
Ni9 0.7176 0.7503 0.5000
Ni10 0.8028 0.6139 0.0000
Ni11 0.8111 0.1972 0.0000
Ni12 0.8646 0.4378 0.5000
Ge1 0.0537 0.4525 0.0000
Ge2 0.2675 0.2385 0.5000
Ge3 0.3989 0.9463 0.0000
Ge4 0.5475 0.6011 0.0000
Ge5 0.6667 0.3333 0.0000
Ge6 0.7615 0.0291 0.5000
Ge7 0.9709 0.7325 0.5000